Material: CrRhOF2
Method: DFT, PBE+U
State: relaxed

```
CrRhOF2
1.0
-0.994 -3.150 -2.325
1.972 -2.475 2.510
-3.084 -0.472 1.957
Cr Rh O F
1 1 1 2
Cartesian
0.000 0.000 0.000
-1.053 -3.048 1.071
-1.542 -0.236 0.979
0.986 -1.237 1.255
-0.497 -1.575 -1.162
```

## Properties
volume	12.02	Å³/atom
distance to the lowest polymorph of the same formula	286	meV per atom
ρ	5.77	g/cm3
total energy	-5.28	eV/atom